[1]
{"formula": "MnSn2", "functional": "PBEsol", "state": "relaxed", "formation_enthalpy_0k_ev_per_atom": 0.049, "space_group": "I4/mcm (140)", "cell": [[-3.2333, 3.2333, 5.5233], [3.2333, -3.2333, 5.5233], [3.2333, 3.2333, -5.5233]], "species": ["Mn", "Mn", "Mn", "Mn", "Sn", "Sn", "Sn", "Sn", "Sn", "Sn", "Sn", "Sn"], "fractional_positions": [[0.0000, 0.0000, 0.0000], [0.2500, 0.2500, 0.0000], [0.5000, 0.5000, 0.0000], [0.7500, 0.7500, 0.0000], [0.0292, 0.5292, 0.8255], [0.2037, 0.0292, 0.5000], [0.2963, 0.7963, 0.8255], [0.4708, 0.2963, 0.5000], [0.5292, 0.7037, 0.5000], [0.7037, 0.2037, 0.1745], [0.7963, 0.9708, 0.5000], [0.9708, 0.4708, 0.1745]]}

***

[2]
{"formula": "Ca3PPb", "functional": "PBEsol", "state": "relaxed", "formation_enthalpy_0k_ev_per_atom": -0.739, "space_group": "Pm-3m (221)", "cell": [[5.3812, 0.0000, 0.0000], [0.0000, 5.3812, 0.0000], [0.0000, 0.0000, 5.3812]], "species": ["Ca", "Ca", "Ca", "P", "Pb"], "fractional_positions": [[0.0000, 0.0000, 0.5000], [0.0000, 0.5000, 0.0000], [0.5000, 0.0000, 0.0000], [0.0000, 0.0000, 0.0000], [0.5000, 0.5000, 0.5000]]}

***

[3]
{"formula": "MgNi2Os", "functional": "PBEsol", "state": "relaxed", "formation_enthalpy_0k_ev_per_atom": 0.143, "space_group": "R-3m (166)", "cell": [[1.3327, 0.7694, 8.3499], [-1.3327, 0.7694, 8.3499], [0.0000, -1.5388, 8.3499]], "species": ["Mg", "Ni", "Ni", "Os"], "fractional_positions": [[0.0000, 0.0000, 0.0000], [0.2476, 0.2476, 0.2476], [0.7524, 0.7524, 0.7524], [0.5000, 0.5000, 0.5000]]}

***

[4]
{"formula": "YTlCd2", "functional": "PBEsol", "state": "relaxed", "formation_enthalpy_0k_ev_per_atom": -0.041, "e_above_lowest_polymorph_kj_per_mol_fu": 108.6, "space_group": "R3m (160)", "cell": [[1.6968, 0.9797, 9.9215], [-1.6968, 0.9797, 9.9215], [0.0000, -1.9594, 9.9215]], "species": ["Y", "Tl", "Cd", "Cd"], "fractional_positions": [[0.0000, 0.0000, 0.0000], [0.2449, 0.2449, 0.2449], [0.4957, 0.4957, 0.4957], [0.7521, 0.7521, 0.7521]]}

***

- Number 4 is which compound?
  YTlCd2

***

- Number 2 is which compound?
  Ca3PPb